Material: PrPaCo2
Method: DFT, PBE-GGA
State: optimized geometry

a = 3.779 Å, b = 3.779 Å, c = 7.075 Å
α = 74.51°, β = 74.51°, γ = 60.00°
Positions (direct):
Pr 0.500 0.500 0.500
Pa 0.000 0.000 0.000
Co 0.738 0.738 0.786
Co 0.262 0.262 0.214

Results
ρ   9.77 g/cm3
Space-group type   No. 166
Total magnetic moment   0.00 μB/atom
Volume   83.2 Å³ per cell
Energy of formation   -0.13 eV/atom